1.
{
  "formula": "LiNp",
  "functional": "PBE",
  "state": "optimized geometry",
  "cell": [[0.004, 3.093, 3.093], [3.093, 0.004, 3.093], [3.093, 3.093, 0.004]],
  "species": ["Li", "Np"],
  "fractional_positions": [[0.000, 0.000, 0.000], [0.250, 0.250, 0.250]],
  "de_polymorph_kj_per_mol_atoms": 164.28,
  "magnetic_moment_mub_per_cell": 6.03,
  "space_group": "No. 160"
}

---

2.
{
  "formula": "CuNiGeAu",
  "functional": "PBE",
  "state": "optimized geometry",
  "cell": [[-3.196, -0.876, 2.779], [-4.001, -0.732, -1.468], [-1.676, -3.982, 0.183]],
  "species": ["Au", "Cu", "Ge", "Ni"],
  "fractional_positions": [[0.500, 0.500, 0.500], [0.750, 0.750, 0.750], [0.000, 0.000, 0.000], [0.250, 0.250, 0.250]],
  "de_polymorph_kj_per_mol_atoms": 0.00,
  "magnetic_moment_mub_per_cell": 0.00,
  "space_group": "No. 216"
}

---

3.
{
  "formula": "LuScTc",
  "functional": "PBE",
  "state": "optimized geometry",
  "cell": [[-2.217, -3.886, 0.944], [-4.517, 0.059, 0.704], [-2.821, -1.833, -3.097]],
  "species": ["Lu", "Sc", "Tc"],
  "fractional_positions": [[0.250, 0.250, 0.250], [0.000, 0.000, 0.000], [0.750, 0.750, 0.750]],
  "formation_enthalpy_0k_mev_per_atom": 770,
  "magnetic_moment_mub_per_cell": 0.00,
  "space_group": "No. 216"
}